1.
A relaxed Sr3Ag2Ge4 crystal, computed with PBE.

Lattice parameters (Å, degrees): 6.4022 6.4022 8.9870 98.70 98.70 40.48
Atoms (fractional coordinates):
Sr 0.0000 0.0000 0.0000
Sr 0.3338 0.3338 0.3318
Sr 0.6662 0.6662 0.6682
Ag 0.3905 0.3905 0.7198
Ag 0.6095 0.6095 0.2802
Ge 0.0519 0.0519 0.3926
Ge 0.2785 0.2785 0.9428
Ge 0.7215 0.7215 0.0572
Ge 0.9481 0.9481 0.6074

calculated total energy: -3.73 eV per atom
DFT formation energy: -0.483 eV per atom

2.
A relaxed LiPbW2 crystal, computed with PBE.

Lattice parameters (Å, degrees): 3.7827 3.7827 20.6497 90.00 90.00 90.00
Atoms (fractional coordinates):
Li 0.0000 0.0000 0.0000
Li 0.0000 0.5000 0.2500
Li 0.5000 0.0000 0.7500
Li 0.5000 0.5000 0.5000
Pb 0.0000 0.0000 0.5000
Pb 0.0000 0.5000 0.7500
Pb 0.5000 0.0000 0.2500
Pb 0.5000 0.5000 0.0000
W 0.2431 0.2500 0.1250
W 0.2500 0.7431 0.3750
W 0.2500 0.7569 0.8750
W 0.2569 0.2500 0.6250
W 0.7431 0.7500 0.6250
W 0.7500 0.2431 0.8750
W 0.7500 0.2569 0.3750
W 0.7569 0.7500 0.1250

calculated total energy: -7.02 eV per atom
DFT formation energy: 0.866 eV per atom

3.
A relaxed V5Mo2W crystal, computed with PBE.

Lattice parameters (Å, degrees): 5.1522 10.0970 4.4597 90.00 90.00 90.00
Atoms (fractional coordinates):
V 0.0000 0.0000 0.0000
V 0.1456 0.2485 0.0000
V 0.1632 0.8866 0.5000
V 0.3368 0.3866 0.5000
V 0.3544 0.7485 0.0000
V 0.5000 0.5000 0.0000
V 0.6456 0.2515 0.0000
V 0.6632 0.6134 0.5000
V 0.8368 0.1134 0.5000
V 0.8544 0.7515 0.0000
Mo 0.1720 0.6304 0.5000
Mo 0.3280 0.1304 0.5000
Mo 0.6720 0.8696 0.5000
Mo 0.8280 0.3696 0.5000
W 0.0000 0.5000 0.0000
W 0.5000 0.0000 0.0000

calculated total energy: -10.04 eV per atom
energy relative to the lowest polymorph listed for this composition: 0.003 eV per atom
DFT formation energy: -0.009 eV per atom

4.
A relaxed LiSc2In crystal, computed with PBE.

Lattice parameters (Å, degrees): 3.2687 3.2687 30.5101 90.00 90.00 120.00
Atoms (fractional coordinates):
Li 0.0000 0.0000 0.0000
Li 0.3333 0.6667 0.6667
Li 0.6667 0.3333 0.3333
Sc 0.0000 0.0000 0.2488
Sc 0.0000 0.0000 0.7512
Sc 0.3333 0.6667 0.4179
Sc 0.3333 0.6667 0.9154
Sc 0.6667 0.3333 0.0846
Sc 0.6667 0.3333 0.5821
In 0.0000 0.0000 0.5000
In 0.3333 0.6667 0.1667
In 0.6667 0.3333 0.8333

calculated total energy: -4.35 eV per atom
DFT formation energy: -0.023 eV per atom

5.
A relaxed LaZrSCl2 crystal, computed with PBE.

Lattice parameters (Å, degrees): 4.9497 4.9497 5.0174 90.00 90.00 90.00
Atoms (fractional coordinates):
La 0.0000 0.0000 0.0000
Zr 0.5000 0.5000 0.5000
S 0.5000 0.5000 0.0000
Cl 0.0000 0.5000 0.5000
Cl 0.5000 0.0000 0.5000

calculated total energy: -5.46 eV per atom
formation energy without anion corrections: -1.206 eV/atom

6.
A relaxed Cs3In8Sn3 crystal, computed with PBE.

Lattice parameters (Å, degrees): 9.8890 9.8890 9.8890 148.39 107.73 81.02
Atoms (fractional coordinates):
Cs 0.0000 0.0000 0.0000
Cs 0.3006 0.3006 0.0000
Cs 0.6994 0.6994 0.0000
In 0.0217 0.6623 0.3594
In 0.1415 0.8620 0.2795
In 0.3028 0.6623 0.6406
In 0.4175 0.1380 0.2795
In 0.5825 0.8620 0.7205
In 0.6972 0.3377 0.3594
In 0.8585 0.1380 0.7205
In 0.9783 0.3377 0.6406
Sn 0.3035 0.5000 0.8035
Sn 0.5000 0.0000 0.5000
Sn 0.6965 0.5000 0.1965

calculated total energy: -2.67 eV per atom
energy relative to the lowest polymorph listed for this composition: 0.017 eV per atom
DFT formation energy: -0.065 eV per atom

Calculated density across the listed records, respectively: 5.4, 13.1, 9.0, 3.7, 4.5, 5.9 Mg/m³.
Size of the total moment across the listed records, respectively: 0.000, 0.000, 0.000, 0.532, 0.001, 0.000 μB per formula unit.